! V2CrInO8 PBE with a Hubbard U optimized geometry; values from VASP
&SYSTEM
  ibrav = 0, nat = 12, ntyp = 4
/
ATOMIC_SPECIES
V 50.94 V.upf
Cr 52.00 Cr.upf
In 114.82 In.upf
O 16.00 O.upf
ATOMIC_POSITIONS crystal
V 0.000 0.000 0.000
V 0.750 0.250 0.500
Cr 0.250 0.750 0.500
In 0.500 0.500 0.000
O 0.036 0.832 0.205
O 0.119 0.423 0.696
O 0.168 0.373 0.205
O 0.168 0.964 0.795
O 0.577 0.273 0.696
O 0.577 0.881 0.304
O 0.627 0.832 0.795
O 0.727 0.423 0.304
CELL_PARAMETERS angstrom
-3.372 3.372 3.230
3.372 -3.372 3.230
3.372 3.372 -3.230
! total energy = -84.1 eV for the cell shown
! mass density = 4.49 g/cm3
! SG = I-4m2, No. 119